No. 1
This record from Alexandria via LeMat-Bulk describes a geometry-optimized CuW2Cl structure. The functional is GGA-PBEsol.

Density of states at the Fermi level, states/eV/f.u.: 3.71
Relative energy among the computed polymorphs, meV per atom: 6.1
VASP energy, eV/atom: -7.385
Size of the total moment, μB per atom: 0.000

Unit cell a=4.1251 b=4.1251 c=7.0203 alpha=90.00 beta=90.00 gamma=90.00
Closest atoms and distances in Å follow each position.
Space group I-4m2 (No. 119)
Symmetry-distinct sites (fractional):
1 Cu 0.0000 0.0000 0.0000 x2  4 Cl 2.71, 8 W 2.71-2.92
2 W 0.0000 0.0000 0.5000 x2  4 Cl 2.71, 4 W 2.71, 4 Cu 2.92
3 W 0.0000 0.5000 0.2500 x2  4 W 2.71, 4 Cu 2.71, 4 Cl 2.92
4 Cl 0.0000 0.5000 0.7500 x2  8 W 2.71-2.92, 4 Cu 2.71


No. 2
This record from Alexandria via LeMat-Bulk describes a geometry-optimized CuWCl2 structure. The functional is GGA-PBEsol.

Density of states at the Fermi level, states/eV/f.u.: 2.62
Relative energy among the computed polymorphs, meV per atom: 0.0
VASP energy, eV/atom: -5.360
Size of the total moment, μB per atom: 0.000

Unit cell a=2.9304 b=2.9304 c=7.5921 alpha=90.00 beta=90.00 gamma=90.00
Closest atoms and distances in Å follow each position.
Space group P4mm (No. 99)
Symmetry-distinct sites (fractional):
1 Cu 0.0000 0.0000 0.0000 x1  4 Cl 2.52, 4 W 2.71
2 W 0.5000 0.5000 0.2295 x1  4 Cl 2.56, 4 Cu 2.71
3 Cl 0.0000 0.0000 0.4268 x1  4 W 2.56
4 Cl 0.5000 0.5000 0.8122 x1  4 Cu 2.52


No. 3
This record from Alexandria via LeMat-Bulk describes a geometry-optimized CuWCl2 structure. The functional is GGA-PBEsol.

Density of states at the Fermi level, states/eV/f.u.: 2.24
Relative energy among the computed polymorphs, meV per atom: 646.2
VASP energy, eV/atom: -4.714
Size of the total moment, μB per atom: 0.000

Unit cell a=5.7583 b=7.0838 c=2.8700 alpha=90.00 beta=90.00 gamma=90.00
Closest atoms and distances in Å follow each position.
Space group Cmmm (No. 65)
Symmetry-distinct sites (fractional):
1 Cu 0.0000 0.0000 0.0000 x2  8 Cl 2.70, 2 Cu 2.87, 2 W 2.88
2 W 0.0000 0.5000 0.0000 x2  8 Cl 2.70, 2 W 2.87, 2 Cu 2.88
3 Cl 0.2500 0.2500 0.5000 x4  4 W 2.70, 4 Cu 2.70, 4 Cl 2.87-2.88


No. 4
This record from Alexandria via LeMat-Bulk describes a geometry-optimized CuW2Cl structure. The functional is GGA-PBEsol.

Density of states at the Fermi level, states/eV/f.u.: 3.10
Relative energy among the computed polymorphs, meV per atom: 0.0
VASP energy, eV/atom: -7.391
Size of the total moment, μB per atom: 0.000

Unit cell a=5.2882 b=8.2764 c=2.7003 alpha=90.00 beta=90.00 gamma=90.00
Closest atoms and distances in Å follow each position.
Space group Cmmm (No. 65)
Symmetry-distinct sites (fractional):
1 Cu 0.0000 0.0000 0.0000 x2  2 Cl 2.64, 2 Cu 2.70, 8 W 2.80
2 W 0.2500 0.2500 0.5000 x4  4 W 2.64-2.70, 4 Cl 2.80, 4 Cu 2.80
3 Cl 0.0000 0.5000 0.0000 x2  2 Cu 2.64, 2 Cl 2.70, 8 W 2.80


What did the third record say?
This record from Alexandria via LeMat-Bulk describes a geometry-optimized CuWCl2 structure. The functional is GGA-PBEsol.

Density of states at the Fermi level, states/eV/f.u.: 2.24
Relative energy among the computed polymorphs, meV per atom: 646.2
VASP energy, eV/atom: -4.714
Size of the total moment, μB per atom: 0.000

Unit cell a=5.7583 b=7.0838 c=2.8700 alpha=90.00 beta=90.00 gamma=90.00
Closest atoms and distances in Å follow each position.
Space group Cmmm (No. 65)
Symmetry-distinct sites (fractional):
1 Cu 0.0000 0.0000 0.0000 x2  8 Cl 2.70, 2 Cu 2.87, 2 W 2.88
2 W 0.0000 0.5000 0.0000 x2  8 Cl 2.70, 2 W 2.87, 2 Cu 2.88
3 Cl 0.2500 0.2500 0.5000 x4  4 W 2.70, 4 Cu 2.70, 4 Cl 2.87-2.88